Ac2SbPd: relaxed, GGA-PBE.

Output
distance to the lowest polymorph of the same formula: 0 meV/atom
SG: Cmcm, No. 63
formation energy without anion corrections: -0.890 eV per atom

Cell: 4.846 4.474 12.829 Å, 100.04 90.00 90.00°
Fractional coordinates of all 8 atoms:
Ac1 0.750 0.678 0.357
Ac2 0.250 0.322 0.643
Ac3 0.750 0.942 0.883
Ac4 0.250 0.058 0.117
Sb1 0.250 0.188 0.376
Sb2 0.750 0.812 0.624
Pd1 0.250 0.464 0.929
Pd2 0.750 0.536 0.071

LaTmMgCu: relaxed, GGA-PBE.

Output
SG: F-43m, No. 216
energy of formation from the pure elements: -41 meV per atom

Cell: 5.239 5.239 5.239 Å, 60.00 60.00 60.00°
Fractional coordinates of all 4 atoms:
Mg1 0.250 0.250 0.250
Tm1 0.000 0.000 0.000
Cu1 0.750 0.750 0.750
La1 0.500 0.500 0.500

Ba3MgPt2O6: relaxed, GGA-PBE.

Output
SG: P-3m1, No. 164
formation energy without anion corrections: -1.505 eV per atom

Cell: 5.943 5.943 6.829 Å, 90.00 90.00 120.00°
Fractional coordinates of all 12 atoms:
Ba1 0.333 0.667 0.650
Ba2 0.667 0.333 0.350
Ba3 0.000 0.000 0.000
Mg1 0.000 0.000 0.500
Pt1 0.667 0.333 0.837
Pt2 0.333 0.667 0.163
O1 0.674 0.837 0.314
O2 0.163 0.326 0.314
O3 0.163 0.837 0.314
O4 0.837 0.674 0.686
O5 0.326 0.163 0.686
O6 0.837 0.163 0.686

ZnPdO2: relaxed, GGA-PBE.

Output
SG: I-42d, No. 122
formation energy without anion corrections: -0.529 eV per atom

Cell: 5.363 5.363 5.096 Å, 58.25 58.25 90.00°
Fractional coordinates of all 8 atoms:
Zn1 0.500 0.500 0.000
Zn2 0.250 0.750 0.500
O1 0.603 0.125 0.250
O2 0.147 0.625 0.250
O3 0.375 0.397 0.750
O4 0.875 0.853 0.750
Pd1 0.000 0.000 0.000
Pd2 0.750 0.250 0.500

The records above yield total magnetic moment values of 0.00, 0.00, 0.00, 0.00 μB/f.u., respectively.
The records above yield E_tot values of -42.2, -15.3, -67.2, -37.0 eV/cell, respectively.